VOF2: relaxed, GGA+U.

```
4
Lattice="-1.963 -1.215 -2.075 1.577 -3.250 0.412 -2.825 1.206 4.288" Properties=species:S:1:pos:R:3 pbc="T T T"
V 0.000 0.000 0.000
O 0.788 -1.625 0.206
F -1.786 -0.881 -0.117
F -1.425 -2.378 2.741
```

Computed properties:
SG: No. 71
M_tot (μB per atom): 0.250
DFT total energy (Ry/atom): -0.472